(1)
{"formula": "AcHAu", "functional": "PBE", "state": "optimized geometry", "lattice_angstrom": [[-3.4691, -2.1123, 1.6627], [-0.8993, -1.6462, -3.9677], [4.3923, -1.1514, 1.9094]], "species": ["H", "Au", "Ac"], "fractional_positions": [[0.9164, 0.9164, 0.8328], [0.6812, 0.6812, 0.3625], [0.2524, 0.2524, 0.5048]], "de_polymorph_mev_per_atom": 355, "space_group": "I4mm, No. 107"}



(2)
{"formula": "AcH2Au2", "functional": "PBE", "state": "optimized geometry", "lattice_angstrom": [[0.0611, -4.0456, 2.3068], [5.4166, -3.4003, -1.4051], [3.7744, 0.4470, 5.3857]], "species": ["Ac", "Ac", "Au", "Au", "Au", "Au", "H", "H", "H", "H"], "fractional_positions": [[0.2478, 0.7500, 0.2500], [0.7522, 0.2500, 0.7500], [0.0435, 0.6274, 0.7918], [0.9565, 0.3726, 0.2082], [0.4627, 0.8726, 0.7082], [0.5373, 0.1274, 0.2918], [0.2379, 0.4287, 0.5974], [0.2640, 0.0713, 0.9026], [0.7621, 0.5713, 0.4026], [0.7360, 0.9287, 0.0974]], "dft_energy_ev_per_atom": -3.9011, "space_group": "C2/c, No. 15"}



| no. | Fermi-level density of states (states/eV/cell) |
| --- | --- |
| 1 | 2.66 |
| 2 | 2.22 |